Material: LaSn3Hg
Method: DFT, PBE-GGA
State: relaxed

The structure belongs to space group Pm-3m (No. 221); the cell edges are 5.523, 5.523 and 5.523 Å and the angles 90.00°, 90.00° and 90.00°. The asymmetric unit holds La at (0.000, 0.000, 0.000), Sn at (0.000, 0.500, 0.500) and Hg at (0.500, 0.500, 0.500).

Its offset from the most stable computed form is 206 meV per atom. Its formation energy is 0.804 eV/f.u.